[1]
GGA-PBE Rb2TaFeCl6, optimized geometry; calculated total energy = -44.5 eV/cell; ΔE_f (raw) = -1.113 eV per atom; N(E_F) = 15.98 states/eV/f.u.
1.0
0.000 5.032 5.032
5.032 0.000 5.032
5.032 5.032 0.000
Rb Ta Fe Cl
2 1 1 6
Direct
0.250 0.250 0.250 Rb
0.750 0.750 0.750 Rb
0.000 0.000 0.000 Ta
0.500 0.500 0.500 Fe
0.249 0.249 0.751 Cl
0.249 0.751 0.249 Cl
0.249 0.751 0.751 Cl
0.751 0.249 0.249 Cl
0.751 0.249 0.751 Cl
0.751 0.751 0.249 Cl


[2]
GGA-PBE RbTa2FeCl, optimized geometry; calculated total energy = -18.3 eV/cell; ΔE_f (raw) = 3.339 eV per atom; N(E_F) = 8.56 states/eV/f.u.
1.0
4.909 0.000 0.000
0.000 4.909 0.000
0.000 0.000 5.245
Rb Ta Fe Cl
1 2 1 1
Direct
0.000 0.000 0.000 Rb
0.000 0.500 0.000 Ta
0.500 0.000 0.000 Ta
0.500 0.500 0.500 Fe
0.000 0.000 0.500 Cl


> Which value of ΔE_f (raw) does entry 1 give?

-1.113 eV per atom


> Among the records above, which one has the lowest ΔE_f (raw)?

Rb2TaFeCl6


> Look up the calculated total energy of the first one.

-44.5 eV/cell


> Which of these has the highest calculated total energy?

RbTa2FeCl